[1]
Compound: YHo2Zr
Source: Alexandria via LeMat-Bulk
Functional: PBE
Structure: optimized geometry

Values from the calculation:
calculated volume: 28.95 Å³/atom
DOS(E_F): 6.7 states/eV/cell
energy relative to the elements: 0.07 eV per atom
space-group type: R3m (160)
offset from the most stable computed form: 0 meV/atom

Cell and atoms, written as POSCAR:
```
YHo2Zr
1.0
-0.5810 -2.2633 -2.5534
1.2025 -3.2360 0.2489
-9.2895 -4.9811 4.1832
Y Ho Zr
1 2 1
direct
0.5003 0.5003 0.4992 Y
0.0784 0.0784 0.7648 Ho
0.2548 0.2548 0.2355 Ho
0.6665 0.6665 0.0004 Zr
```



[2]
Compound: Y7Ho3Zr
Source: Alexandria via LeMat-Bulk
Functional: PBE
Structure: optimized geometry

Values from the calculation:
calculated volume: 31.60 Å³/atom
DOS(E_F): 34.1 states/eV/cell
energy relative to the elements: 0.16 eV per atom
space-group type: C2/m (12)

Cell and atoms, written as POSCAR:
```
Y7Ho3Zr
1.0
9.3061 -2.5677 -1.2151
-5.6161 7.8521 -1.2151
-1.4932 -2.1384 12.8358
Y Ho Zr
14 6 2
direct
0.0881 0.9162 0.2506 Y
0.0838 0.9119 0.7494 Y
0.1256 0.4434 0.5304 Y
0.1242 0.4418 0.0294 Y
0.5582 0.8758 0.9706 Y
0.5566 0.8744 0.4696 Y
0.4982 0.4982 0.7502 Y
0.5018 0.5018 0.2498 Y
0.4418 0.1242 0.0294 Y
0.4434 0.1256 0.5304 Y
0.8758 0.5582 0.9706 Y
0.8744 0.5566 0.4696 Y
0.9162 0.0881 0.2506 Y
0.9119 0.0838 0.7494 Y
0.0007 0.4996 0.7506 Ho
0.0000 0.0000 0.0000 Ho
0.0000 0.0000 0.5000 Ho
0.5004 0.9993 0.2494 Ho
0.4996 0.0007 0.7506 Ho
0.9993 0.5004 0.2494 Ho
0.5000 0.5000 0.0000 Zr
0.5000 0.5000 0.5000 Zr
```



[3]
Compound: YHo2Zr
Source: Alexandria via LeMat-Bulk
Functional: PBE
Structure: optimized geometry

Values from the calculation:
calculated volume: 28.88 Å³/atom
DOS(E_F): 5.5 states/eV/cell
energy relative to the elements: 0.08 eV per atom
space-group type: R-3m (166)
offset from the most stable computed form: 8 meV/atom

Cell and atoms, written as POSCAR:
```
YHo2Zr
1.0
-2.0364 2.5095 -1.1683
-3.4106 -0.4207 -0.0129
-2.3941 5.0676 10.0042
Y Ho Zr
1 2 1
direct
0.5000 0.5000 0.5000 Y
0.7448 0.7448 0.7657 Ho
0.2552 0.2552 0.2343 Ho
0.0000 0.0000 0.0000 Zr
```



[4]
Compound: YHo2Zr
Source: Alexandria via LeMat-Bulk
Functional: PBE
Structure: optimized geometry

Values from the calculation:
calculated volume: 29.36 Å³/atom
DOS(E_F): 6.1 states/eV/cell
energy relative to the elements: 0.21 eV per atom
space-group type: Fm-3m (225)
offset from the most stable computed form: 136 meV/atom

Cell and atoms, written as POSCAR:
```
YHo2Zr
1.0
-3.4810 0.2972 4.2441
-5.1533 -1.8361 -0.5382
-1.5690 -4.5854 2.5942
Y Ho Zr
1 2 1
direct
0.5000 0.5000 0.5000 Y
0.2500 0.2500 0.2500 Ho
0.7500 0.7500 0.7500 Ho
0.0000 0.0000 0.0000 Zr
```



no.,magnetization (μB/atom)
1,0.001
2,0.000
3,0.000
4,0.737